w:
## LiAl3Tc (PBE)

Data for an optimized crystal structure of LiAl3Tc.

```
data_LiAl3Tc
_chemical_formula_sum 'Li2 Al6 Tc2'
_cell_length_a 4.699
_cell_length_b 6.802
_cell_length_c 5.083
_cell_angle_alpha 90.00
_cell_angle_beta 98.30
_cell_angle_gamma 90.00
_space_group_name_H-M_alt 'P 1 21/m 1'
_space_group_IT_number 11
loop_
_space_group_symop_operation_xyz
'x,y,z'
'-x,-y,-z'
'-x,y+1/2,-z'
'x,-y+1/2,z'
loop_
_atom_site_label
_atom_site_type_symbol
_atom_site_fract_x
_atom_site_fract_y
_atom_site_fract_z
Li1 Li 0.205 0.250 0.284
Al1 Al 0.150 0.062 0.812
Al2 Al 0.284 0.750 0.524
Tc1 Tc 0.352 0.750 0.044
```

x:
## LiAl3Tc (PBE)

Data for an optimized crystal structure of LiAl3Tc.

```
data_LiAl3Tc
_chemical_formula_sum 'Li2 Al6 Tc2'
_cell_length_a 4.804
_cell_length_b 4.339
_cell_length_c 7.168
_cell_angle_alpha 90.00
_cell_angle_beta 104.06
_cell_angle_gamma 90.00
_space_group_name_H-M_alt 'P 1 21/m 1'
_space_group_IT_number 11
loop_
_space_group_symop_operation_xyz
'x,y,z'
'-x,-y,-z'
'-x,y+1/2,-z'
'x,-y+1/2,z'
loop_
_atom_site_label
_atom_site_type_symbol
_atom_site_fract_x
_atom_site_fract_y
_atom_site_fract_z
Li1 Li 0.227 0.250 0.298
Al1 Al 0.006 0.750 0.126
Al2 Al 0.184 0.750 0.509
Al3 Al 0.379 0.750 0.907
Tc1 Tc 0.410 0.250 0.692
```

y:
## LiAl3Tc (PBE)

Data for an optimized crystal structure of LiAl3Tc.

```
data_LiAl3Tc
_chemical_formula_sum 'Li1 Al3 Tc1'
_cell_length_a 4.765
_cell_length_b 4.765
_cell_length_c 4.765
_cell_angle_alpha 90.00
_cell_angle_beta 90.00
_cell_angle_gamma 90.00
_space_group_name_H-M_alt 'P m -3 m'
_space_group_IT_number 221
_space_group_name_Hall '-P 4 2 3'
loop_
_atom_site_label
_atom_site_type_symbol
_atom_site_fract_x
_atom_site_fract_y
_atom_site_fract_z
Li1 Li 0.000 0.000 0.000
Al1 Al 0.000 0.500 0.500
Tc1 Tc 0.500 0.500 0.500
```

Pick x: it beats the second-best structure by 157 meV per atom.

w:
## Li2Al6Tc (PBE)

Data for an optimized crystal structure of Li2Al6Tc.

```
data_Li2Al6Tc
_chemical_formula_sum 'Li4 Al12 Tc2'
_cell_length_a 9.007
_cell_length_b 4.545
_cell_length_c 6.788
_cell_angle_alpha 90.00
_cell_angle_beta 102.58
_cell_angle_gamma 90.00
_space_group_name_H-M_alt 'C 1 2/m 1'
_space_group_IT_number 12
loop_
_space_group_symop_operation_xyz
'x,y,z'
'-x,-y,-z'
'-x,y,-z'
'x,-y,z'
'x+1/2,y+1/2,z'
'-x+1/2,-y+1/2,-z'
'-x+1/2,y+1/2,-z'
'x+1/2,-y+1/2,z'
loop_
_atom_site_label
_atom_site_type_symbol
_atom_site_fract_x
_atom_site_fract_y
_atom_site_fract_z
Li1 Li 0.056 0.000 0.337
Al1 Al 0.105 0.500 0.680
Al2 Al 0.156 0.000 0.992
Al3 Al 0.210 0.500 0.335
Tc1 Tc 0.000 0.500 0.000
```

x:
## Li2Al6Tc (PBE)

Data for an optimized crystal structure of Li2Al6Tc.

```
data_Li2Al6Tc
_chemical_formula_sum 'Li4 Al12 Tc2'
_cell_length_a 8.006
_cell_length_b 8.015
_cell_length_c 4.305
_cell_angle_alpha 90.00
_cell_angle_beta 90.00
_cell_angle_gamma 90.00
_space_group_name_H-M_alt 'P n n m'
_space_group_IT_number 58
loop_
_space_group_symop_operation_xyz
'x,y,z'
'-x,-y,-z'
'-x,-y,z'
'x,y,-z'
'x+1/2,-y+1/2,-z+1/2'
'-x+1/2,y+1/2,z+1/2'
'-x+1/2,y+1/2,-z+1/2'
'x+1/2,-y+1/2,z+1/2'
loop_
_atom_site_label
_atom_site_type_symbol
_atom_site_fract_x
_atom_site_fract_y
_atom_site_fract_z
Li1 Li 0.202 0.203 0.000
Al1 Al 0.029 0.327 0.500
Al2 Al 0.125 0.876 0.000
Al3 Al 0.172 0.530 0.000
Tc1 Tc 0.000 0.000 0.500
```

Pick w: it beats the second-best structure by 60 meV per atom.

w:
## Li2AlTe (PBE)

Data for an optimized crystal structure of Li2AlTe.

```
data_Li2AlTe
_chemical_formula_sum 'Li8 Al4 Te4'
_cell_length_a 7.104
_cell_length_b 7.104
_cell_length_c 7.104
_cell_angle_alpha 90.00
_cell_angle_beta 90.00
_cell_angle_gamma 90.00
_space_group_name_H-M_alt 'F -4 3 m'
_space_group_IT_number 216
_space_group_name_Hall 'F -4 2 3'
loop_
_atom_site_label
_atom_site_type_symbol
_atom_site_fract_x
_atom_site_fract_y
_atom_site_fract_z
Li1 Li 0.000 0.000 0.000
Li2 Li 0.250 0.250 0.250
Al1 Al 0.000 0.000 0.500
Te1 Te 0.250 0.250 0.750
```

x:
## Li2AlTe (PBE)

Data for an optimized crystal structure of Li2AlTe.

```
data_Li2AlTe
_chemical_formula_sum 'Li6 Al3 Te3'
_cell_length_a 3.3007
_cell_length_b 3.3007
_cell_length_c 26.7459
_cell_angle_alpha 90.00
_cell_angle_beta 90.00
_cell_angle_gamma 120.00
_space_group_name_H-M_alt 'R -3 m'
_space_group_IT_number 166
_space_group_name_Hall '-R 3 2"'
loop_
_atom_site_label
_atom_site_type_symbol
_atom_site_fract_x
_atom_site_fract_y
_atom_site_fract_z
Li1 Li 0.0000 0.0000 0.2492
Al1 Al 0.0000 0.0000 0.0000
Te1 Te 0.0000 0.0000 0.5000
```

Pick x: it beats the second-best structure by 45 meV per atom.

w:
## Li3AlTe (PBE)

Data for an optimized crystal structure of Li3AlTe.

```
data_Li3AlTe
_chemical_formula_sum 'Li3 Al1 Te1'
_cell_length_a 4.916
_cell_length_b 4.916
_cell_length_c 4.916
_cell_angle_alpha 90.00
_cell_angle_beta 90.00
_cell_angle_gamma 90.00
_space_group_name_H-M_alt 'P m -3 m'
_space_group_IT_number 221
_space_group_name_Hall '-P 4 2 3'
loop_
_atom_site_label
_atom_site_type_symbol
_atom_site_fract_x
_atom_site_fract_y
_atom_site_fract_z
Li1 Li 0.000 0.000 0.500
Al1 Al 0.000 0.000 0.000
Te1 Te 0.500 0.500 0.500
```

x:
## Li3AlTe (PBE)

Data for an optimized crystal structure of Li3AlTe.

```
data_Li3AlTe
_chemical_formula_sum 'Li3 Al1 Te1'
_cell_length_a 5.149
_cell_length_b 5.149
_cell_length_c 5.149
_cell_angle_alpha 90.00
_cell_angle_beta 90.00
_cell_angle_gamma 90.00
_space_group_name_H-M_alt 'P m -3 m'
_space_group_IT_number 221
_space_group_name_Hall '-P 4 2 3'
loop_
_atom_site_label
_atom_site_type_symbol
_atom_site_fract_x
_atom_site_fract_y
_atom_site_fract_z
Li1 Li 0.000 0.000 0.500
Al1 Al 0.500 0.500 0.500
Te1 Te 0.000 0.000 0.000
```

Pick x: it beats the second-best structure by 278 meV per atom.

w:
## LiThAl (PBE)

Data for an optimized crystal structure of LiThAl.

```
data_LiThAl
_chemical_formula_sum 'Li1 Th1 Al1'
_cell_length_a 4.8482
_cell_length_b 4.8482
_cell_length_c 3.3609
_cell_angle_alpha 90.00
_cell_angle_beta 90.00
_cell_angle_gamma 120.00
_space_group_name_H-M_alt 'P -6 m 2'
_space_group_IT_number 187
_space_group_name_Hall 'P -6 2'
loop_
_atom_site_label
_atom_site_type_symbol
_atom_site_fract_x
_atom_site_fract_y
_atom_site_fract_z
Li1 Li 0.0000 0.0000 0.0000
Th1 Th 0.6667 0.3333 0.5000
Al1 Al 0.3333 0.6667 0.0000
```

x:
## LiThAl (PBE)

Data for an optimized crystal structure of LiThAl.

```
data_LiThAl
_chemical_formula_sum 'Li4 Th4 Al4'
_cell_length_a 4.981
_cell_length_b 8.575
_cell_length_c 6.236
_cell_angle_alpha 90.00
_cell_angle_beta 90.00
_cell_angle_gamma 90.00
_space_group_name_H-M_alt 'C m c m'
_space_group_IT_number 63
_space_group_name_Hall '-C 2c 2'
loop_
_atom_site_label
_atom_site_type_symbol
_atom_site_fract_x
_atom_site_fract_y
_atom_site_fract_z
Li1 Li 0.000 0.169 0.250
Th1 Th 0.000 0.165 0.750
Al1 Al 0.000 0.500 0.000
```

Pick w: it beats the second-best structure by 62 meV per atom.